[1]
RbGe5Os3, relaxed, DFT GGA-PBE; volume = 209 Å³ per cell; final energy = -6.16 eV/atom; theoretical density = 8.1 g cm⁻³; crystal system = hexagonal; symmetry = P6/mmm, No. 191
1.0
-0.7056 -4.9093 2.0286
3.9686 3.1064 1.8207
-5.1539 3.1570 5.8476
Ge Os Rb
5 3 1
direct
0.3333 0.6667 0.2505
0.3333 0.6667 0.7495
0.0000 0.0000 0.5000
0.6667 0.3333 0.2505
0.6667 0.3333 0.7495
0.5000 0.0000 0.5000
0.5000 0.5000 0.5000
0.0000 0.5000 0.5000
0.0000 0.0000 0.0000

***

[2]
ScCoAsAu, relaxed, DFT GGA-PBE; offset from the most stable computed form = 0 meV per atom; volume = 66 Å³ per cell; final energy = -5.67 eV/atom; theoretical density = 9.5 g cm⁻³; crystal system = cubic; symmetry = F-43m, No. 216
1.0
0.0000 3.2016 3.2016
3.2016 0.0000 3.2016
3.2016 3.2016 0.0000
Sc As Co Au
1 1 1 1
direct
0.5000 0.5000 0.5000
0.2500 0.2500 0.2500
0.0000 0.0000 0.0000
0.7500 0.7500 0.7500